A relaxed structure of CdMoCl2. Source: Alexandria via LeMat-Bulk, functional GGA-PBE.

a = 4.9812 Å, b = 4.9812 Å, c = 4.9812 Å
α = 60.00°, β = 60.00°, γ = 60.00°
Element x y z (fractional)
Cd (0.0000, 0.0000, 0.0000)
Mo (0.2500, 0.2500, 0.2500)
Cl (0.5000, 0.5000, 0.5000)
Cl (0.7500, 0.7500, 0.7500)

Properties
The calculation puts the formation energy from raw total energies at 0.53 eV/atom. The calculation puts the final energy at -0.244 Ry per atom.



A relaxed structure of CdMoCl2. Source: Alexandria via LeMat-Bulk, functional GGA-PBE.

a = 4.6840 Å, b = 4.6840 Å, c = 4.0171 Å
α = 90.00°, β = 90.00°, γ = 90.00°
Element x y z (fractional)
Cd (0.0000, 0.0000, 0.0000)
Mo (0.5000, 0.5000, 0.0000)
Cl (0.0000, 0.5000, 0.5000)
Cl (0.5000, 0.0000, 0.5000)

Properties
The calculation puts the formation energy from raw total energies at 0.45 eV/atom. The calculation puts the final energy at -0.251 Ry per atom.



A relaxed structure of CdMoCl2. Source: Alexandria via LeMat-Bulk, functional GGA-PBE.

a = 10.4407 Å, b = 10.4407 Å, c = 10.4407 Å
α = 17.28°, β = 17.28°, γ = 17.28°
Element x y z (fractional)
Cd (0.0000, 0.0000, 0.0000)
Mo (0.5000, 0.5000, 0.5000)
Cl (0.1110, 0.1110, 0.1110)
Cl (0.8890, 0.8890, 0.8890)

Properties
The calculation puts the formation energy from raw total energies at -0.26 eV/atom. The calculation puts the final energy at -0.303 Ry per atom.



A relaxed structure of CdMoCl2. Source: Alexandria via LeMat-Bulk, functional GGA-PBE.

a = 3.2690 Å, b = 3.2690 Å, c = 9.5563 Å
α = 90.00°, β = 90.00°, γ = 120.55°
Element x y z (fractional)
Cd (0.0000, 0.0000, 0.0000)
Mo (0.5000, 0.5000, 0.7505)
Cl (0.0000, 0.0000, 0.5651)
Cl (0.5000, 0.5000, 0.2015)

Properties
The calculation puts the formation energy from raw total energies at -0.05 eV/atom. The calculation puts the final energy at -0.288 Ry per atom.